# 1
{"formula": "Hf2TcAuC", "functional": "SCAN", "state": "single point on PBEsol structure", "lattice": [[3.669, 0.000, 0.000], [0.000, 5.155, 0.000], [0.000, 0.000, 5.155]], "species": ["Hf", "Hf", "C", "Au", "Tc"], "fractional_positions": [[0.000, 0.000, 0.500], [0.000, 0.500, 0.000], [0.500, 0.000, 0.000], [0.000, 0.000, 0.000], [0.500, 0.500, 0.500]], "crystal_system": "tetragonal", "formation_energy_ev_per_atom": 1.359}

---

# 2
{"formula": "CrAgCl2", "functional": "SCAN", "state": "single point on PBEsol structure", "lattice": [[-4.378, 1.474, -0.914], [-3.384, -3.129, -0.966], [-3.445, -0.779, 3.115]], "species": ["Cr", "Ag", "Cl", "Cl"], "fractional_positions": [[0.750, 0.750, 0.750], [0.500, 0.500, 0.500], [0.000, 0.000, 0.000], [0.250, 0.250, 0.250]], "crystal_system": "cubic", "relative_energy_mev_per_atom": 440}

---

# 3
{"formula": "Hf3ScMn", "functional": "SCAN", "state": "single point on PBEsol structure", "lattice": [[4.770, 0.000, 0.000], [0.000, 4.770, 0.000], [0.000, 0.000, 4.770]], "species": ["Sc", "Mn", "Hf", "Hf", "Hf"], "fractional_positions": [[0.500, 0.500, 0.500], [0.000, 0.000, 0.000], [0.000, 0.500, 0.000], [0.000, 0.000, 0.500], [0.500, 0.000, 0.000]], "crystal_system": "cubic", "relative_energy_mev_per_atom": 0, "formation_energy_ev_per_atom": 0.290}

---

# 4
{"formula": "H3RuO", "functional": "SCAN", "state": "single point on PBEsol structure", "lattice": [[3.126, 0.000, 0.000], [0.000, 3.126, 0.000], [0.000, 0.000, 3.126]], "species": ["Ru", "O", "H", "H", "H"], "fractional_positions": [[0.500, 0.500, 0.500], [0.000, 0.000, 0.000], [0.000, 0.500, 0.000], [0.000, 0.000, 0.500], [0.500, 0.000, 0.000]], "crystal_system": "cubic", "final_energy_ev_per_atom": -9.174}

---

| no. | magnetization (μB/cell) |
| --- | --- |
| 1 | 0.0 |
| 2 | 5.0 |
| 3 | 0.0 |
| 4 | 1.8 |